Version 1
Density functional theory data (GGA-PBE) for a geometry-optimized LiCaRe structure.

The space group is Imm2 (No. 44) and the conventional cell measures 2.639, 4.464 and 9.520 Å, with angles of 90.00, 90.00 and 90.00 degrees. Symmetry generates all atoms from Li at (0.000, 0.000, 0.000), Ca at (0.000, 0.000, 0.307) and Re at (0.000, 0.000, 0.628).

For the volume, the calculation gives 112.17 Å³/cell.

---

Version 2
Density functional theory data (GGA-PBE) for a geometry-optimized LiCaRe structure.

The space group is I4mm (No. 107) and the conventional cell measures 2.758, 2.758 and 14.981 Å, with angles of 90.00, 90.00 and 90.00 degrees. Symmetry generates all atoms from Li at (0.000, 0.000, 0.000), Ca at (0.000, 0.000, 0.698) and Re at (0.000, 0.000, 0.358).

For the volume, the calculation gives 113.96 Å³/cell.

---

Version 3
Density functional theory data (GGA-PBE) for a geometry-optimized LiCaRe structure.

The space group is Fmm2 (No. 42) and the conventional cell measures 3.524, 4.297 and 15.105 Å, with angles of 90.00, 90.00 and 90.00 degrees. Symmetry generates all atoms from Li at (0.000, 0.000, 0.000), Ca at (0.000, 0.000, 0.700) and Re at (0.000, 0.000, 0.359).

For the volume, the calculation gives 228.75 Å³/cell.

---

If you had to bet on the most stable structure above, which would it be? Bet on version 2.